Material: Tb5PaN6
Method: DFT, PBE
State: optimized geometry

Output
The volume comes out at 15.1 A^3/atom. The calculation puts the formation energy without anion corrections at -1708 meV/atom.

a b c (Å): 6.0506 6.0559 6.0531
angles (deg): 59.98 80.39 70.51
Last column: nearest neighbours and their distance in Å.
Fractional positions:
Tb1 0.5000 0.5000 0.0000  6 N 2.46-2.57
Tb2 0.0000 0.6664 0.6672  6 N 2.48-2.49
Tb3 0.5000 0.1681 0.6638  6 N 2.46-2.55
Tb4 0.0000 0.3336 0.3328  6 N 2.48-2.49
Tb5 0.5000 0.8319 0.3362  6 N 2.46-2.55
N1 0.7594 0.7614 0.0000  1 Pa 2.37, 5 Tb 2.48-2.57
N2 0.2433 0.9188 0.6807  1 Pa 2.38, 5 Tb 2.46-2.55
N3 0.7567 0.4005 0.6807  1 Pa 2.38, 5 Tb 2.46-2.55
N4 0.2406 0.2386 0.0000  1 Pa 2.37, 5 Tb 2.48-2.57
N5 0.2433 0.5995 0.3193  1 Pa 2.38, 5 Tb 2.46-2.55
N6 0.7567 0.0812 0.3193  1 Pa 2.38, 5 Tb 2.46-2.55
Pa1 0.0000 0.0000 0.0000  6 N 2.37-2.38